[1]
# PBE YB2C2, optimized geometry
# - Uncorrected energy: -39.8 eV/f.u.
# - Total moment: 0.0000 μB per atom
# - Energy relative to the elements: -0.2998 eV per atom
data_YB2C2
_symmetry_space_group_name_H-M 'P 42/m m c'
_symmetry_Int_Tables_number 131
_symmetry_space_group_name_Hall '-P 4c 2'
_cell_length_a 3.800
_cell_length_b 3.800
_cell_length_c 7.235
_cell_angle_alpha 90.00
_cell_angle_beta 90.00
_cell_angle_gamma 90.00
loop_
_atom_site_label
_atom_site_fract_x
_atom_site_fract_y
_atom_site_fract_z
Y1 0.000 0.000 0.250
B1 0.215 0.500 0.000
C1 0.188 0.500 0.500

***

[2]
# PBE Al2ZnHPd, optimized geometry
# - Uncorrected energy: -17.3 eV/f.u.
# - Total moment: 0.0000 μB per atom
data_Al2ZnHPd
_symmetry_space_group_name_H-M 'P 4/m m m'
_symmetry_Int_Tables_number 123
_symmetry_space_group_name_Hall '-P 4 2'
_cell_length_a 4.111
_cell_length_b 4.111
_cell_length_c 3.854
_cell_angle_alpha 90.00
_cell_angle_beta 90.00
_cell_angle_gamma 90.00
loop_
_atom_site_label
_atom_site_fract_x
_atom_site_fract_y
_atom_site_fract_z
Al1 0.000 0.500 0.000
Zn1 0.000 0.000 0.500
H1 0.500 0.500 0.000
Pd1 0.500 0.500 0.500